# 1
A relaxed structure of Fe2Ni8Ge. Source: Alexandria, functional GGA-PBE.

Unit cell a=6.642 b=6.642 c=5.620 alpha=104.65 beta=104.65 gamma=31.21
Atoms (fractional coordinates):
Fe 0.225 0.225 0.144
Fe 0.775 0.775 0.856
Ni 0.045 0.045 0.225
Ni 0.140 0.140 0.688
Ni 0.318 0.318 0.590
Ni 0.407 0.407 0.044
Ni 0.593 0.593 0.956
Ni 0.682 0.682 0.410
Ni 0.860 0.860 0.312
Ni 0.955 0.955 0.775
Ge 0.500 0.500 0.500

total magnetic moment = 8.972 μB/f.u.
E above lowest polymorph = 0.000 eV per atom
space-group type = C2/m (12)

---

# 2
A relaxed structure of Fe6NiGe2. Source: Alexandria, functional GGA-PBE.

Unit cell a=4.792 b=4.792 c=6.515 alpha=113.55 beta=113.55 gamma=60.79
Atoms (fractional coordinates):
Fe 0.170 0.674 0.628
Fe 0.306 0.306 0.888
Fe 0.326 0.830 0.372
Fe 0.674 0.170 0.628
Fe 0.694 0.694 0.112
Fe 0.830 0.326 0.372
Ni 0.000 0.000 0.000
Ge 0.296 0.296 0.261
Ge 0.704 0.704 0.739

total magnetic moment = 14.668 μB/f.u.
space-group type = C2/m (12)
total DFT energy (no corrections) = -64.9 eV for the cell shown

---

# 3
A relaxed structure of Fe3Ni12Ge. Source: Alexandria, functional GGA-PBE.

Unit cell a=3.559 b=3.559 c=14.136 alpha=90.00 beta=90.00 gamma=90.00
Atoms (fractional coordinates):
Fe 0.000 0.000 0.000
Fe 0.000 0.000 0.249
Fe 0.000 0.000 0.751
Ni 0.000 0.500 0.124
Ni 0.000 0.500 0.373
Ni 0.000 0.500 0.627
Ni 0.000 0.500 0.876
Ni 0.500 0.000 0.124
Ni 0.500 0.000 0.373
Ni 0.500 0.000 0.627
Ni 0.500 0.000 0.876
Ni 0.500 0.500 0.000
Ni 0.500 0.500 0.249
Ni 0.500 0.500 0.500
Ni 0.500 0.500 0.751
Ge 0.000 0.000 0.500

total magnetic moment = 14.626 μB/f.u.
space-group type = P4/mmm (123)
total DFT energy (no corrections) = -101.5 eV for the cell shown

---

# 4
A relaxed structure of FeNi8Ge2. Source: Alexandria, functional GGA-PBE.

Unit cell a=6.596 b=6.596 c=6.596 alpha=147.47 beta=121.11 gamma=68.92
Atoms (fractional coordinates):
Fe 0.000 0.000 0.000
Ni 0.108 0.839 0.269
Ni 0.150 0.650 0.500
Ni 0.286 0.500 0.786
Ni 0.430 0.161 0.269
Ni 0.570 0.839 0.731
Ni 0.714 0.500 0.214
Ni 0.850 0.350 0.500
Ni 0.892 0.161 0.731
Ge 0.317 0.317 0.000
Ge 0.683 0.683 0.000

total magnetic moment = 4.237 μB/f.u.
E above lowest polymorph = 0.000 eV per atom
space-group type = Immm (71)

---

# 5
A relaxed structure of FeNiGe. Source: Alexandria, functional GGA-PBE.

Unit cell a=9.486 b=9.486 c=9.486 alpha=162.19 beta=162.02 gamma=25.41
Atoms (fractional coordinates):
Fe 0.215 0.215 0.000
Fe 0.785 0.785 0.000
Ni 0.365 0.365 0.000
Ni 0.635 0.635 0.000
Ge 0.068 0.068 0.000
Ge 0.932 0.932 0.000

total magnetic moment = 2.731 μB/f.u.
space-group type = Immm (71)
total DFT energy (no corrections) = -38.1 eV for the cell shown

---

# 6
A relaxed structure of Fe3NiGe. Source: Alexandria, functional GGA-PBE.

Unit cell a=6.325 b=6.325 c=6.437 alpha=92.05 beta=92.05 gamma=80.31
Atoms (fractional coordinates):
Fe 0.014 0.812 0.598
Fe 0.100 0.395 0.691
Fe 0.188 0.986 0.902
Fe 0.286 0.456 0.386
Fe 0.395 0.100 0.191
Fe 0.456 0.286 0.886
Fe 0.544 0.714 0.114
Fe 0.605 0.900 0.809
Fe 0.714 0.544 0.614
Fe 0.812 0.014 0.098
Fe 0.900 0.605 0.309
Fe 0.986 0.188 0.402
Ni 0.049 0.322 0.063
Ni 0.322 0.049 0.563
Ni 0.678 0.951 0.437
Ni 0.951 0.678 0.937
Ge 0.176 0.824 0.250
Ge 0.357 0.643 0.750
Ge 0.643 0.357 0.250
Ge 0.824 0.176 0.750

total magnetic moment = 7.423 μB/f.u.
E above lowest polymorph = 0.000 eV per atom
space-group type = C2/c (15)

---

# 7
A relaxed structure of FeNi8Ge2. Source: Alexandria, functional GGA-PBE.

Unit cell a=6.340 b=6.340 c=4.144 alpha=101.79 beta=101.79 gamma=118.90
Atoms (fractional coordinates):
Fe 0.000 0.000 0.000
Ni 0.093 0.314 0.618
Ni 0.216 0.784 0.000
Ni 0.314 0.093 0.618
Ni 0.397 0.397 0.187
Ni 0.603 0.603 0.813
Ni 0.686 0.907 0.382
Ni 0.784 0.216 0.000
Ni 0.907 0.686 0.382
Ge 0.308 0.692 0.500
Ge 0.692 0.308 0.500

total magnetic moment = 4.439 μB/f.u.
E above lowest polymorph = 0.132 eV per atom
space-group type = C2/m (12)

---

# 8
A relaxed structure of FeNi7Ge4. Source: Alexandria, functional GGA-PBE.

Unit cell a=4.579 b=5.104 c=6.812 alpha=108.09 beta=102.18 gamma=91.26
Atoms (fractional coordinates):
Fe 0.000 0.000 0.000
Ni 0.000 0.500 0.000
Ni 0.182 0.873 0.625
Ni 0.281 0.414 0.334
Ni 0.476 0.238 0.984
Ni 0.524 0.762 0.016
Ni 0.719 0.586 0.666
Ni 0.818 0.127 0.375
Ge 0.225 0.434 0.697
Ge 0.288 0.916 0.306
Ge 0.712 0.084 0.694
Ge 0.775 0.566 0.303

total magnetic moment = 3.168 μB/f.u.
space-group type = P-1 (2)
total DFT energy (no corrections) = -69.5 eV for the cell shown

---

# 9
A relaxed structure of FeNiGe4. Source: Alexandria, functional GGA-PBE.

Unit cell a=6.589 b=6.589 c=6.589 alpha=127.55 beta=127.55 gamma=77.35
Atoms (fractional coordinates):
Fe 0.250 0.250 0.000
Fe 0.750 0.750 0.000
Ni 0.000 0.000 0.000
Ni 0.500 0.500 0.000
Ge 0.024 0.524 0.814
Ge 0.210 0.024 0.500
Ge 0.290 0.790 0.814
Ge 0.476 0.290 0.500
Ge 0.524 0.710 0.500
Ge 0.710 0.210 0.186
Ge 0.790 0.976 0.500
Ge 0.976 0.476 0.186

total magnetic moment = 0.001 μB/f.u.
space-group type = I4/mcm (140)
total DFT energy (no corrections) = -66.4 eV for the cell shown

---

# 10
A relaxed structure of FeNi3Ge. Source: Alexandria, functional GGA-PBE.

Unit cell a=4.281 b=4.281 c=4.281 alpha=90.00 beta=90.00 gamma=90.00
Atoms (fractional coordinates):
Fe 0.000 0.000 0.000
Ni 0.000 0.500 0.500
Ni 0.500 0.000 0.500
Ni 0.500 0.500 0.000
Ge 0.500 0.500 0.500

total magnetic moment = 3.793 μB/f.u.
E above lowest polymorph = 0.955 eV per atom
space-group type = Pm-3m (221)

---

# 11
A relaxed structure of FeNiGe. Source: Alexandria, functional GGA-PBE.

Unit cell a=5.940 b=4.988 c=4.751 alpha=75.12 beta=54.25 gamma=50.62
Atoms (fractional coordinates):
Fe 0.250 0.250 0.250
Fe 0.750 0.750 0.750
Ni 0.227 0.773 0.227
Ni 0.773 0.227 0.773
Ge 0.176 0.176 0.824
Ge 0.824 0.824 0.176

total magnetic moment = 2.260 μB/f.u.
space-group type = Fmmm (69)
total DFT energy (no corrections) = -37.2 eV for the cell shown

---

# 12
A relaxed structure of Fe4Ni15Ge. Source: Alexandria, functional GGA-PBE.

Unit cell a=3.556 b=3.556 c=17.704 alpha=90.00 beta=90.00 gamma=90.00
Atoms (fractional coordinates):
Fe 0.000 0.000 0.100
Fe 0.000 0.000 0.299
Fe 0.000 0.000 0.701
Fe 0.000 0.000 0.900
Ni 0.000 0.500 0.000
Ni 0.000 0.500 0.199
Ni 0.000 0.500 0.398
Ni 0.000 0.500 0.602
Ni 0.000 0.500 0.801
Ni 0.500 0.000 0.000
Ni 0.500 0.000 0.199
Ni 0.500 0.000 0.398
Ni 0.500 0.000 0.602
Ni 0.500 0.000 0.801
Ni 0.500 0.500 0.100
Ni 0.500 0.500 0.299
Ni 0.500 0.500 0.500
Ni 0.500 0.500 0.701
Ni 0.500 0.500 0.900
Ge 0.000 0.000 0.500

total magnetic moment = 19.677 μB/f.u.
space-group type = P4/mmm (123)
total DFT energy (no corrections) = -127.6 eV for the cell shown